Li2CrNi | PBE | optimized geometry

a = 5.1937 Å, b = 5.1937 Å, c = 5.1937 Å
α = 150.01°, β = 131.44°, γ = 58.13°
Last column: nearest neighbours and their distance in Å.
Positions (direct):
Ni (0.7500, 0.2500, 0.5000)  4 Li 2.49, 4 Cr 2.52, 2 Ni 2.69
Li (0.9803, 0.9803, 0.0000)  2 Ni 2.49, 6 Li 2.55-2.69
Cr (0.2500, 0.7500, 0.5000)  4 Ni 2.52, 2 Cr 2.69, 4 Li 2.79
Li (0.5197, 0.5197, 0.0000)  2 Ni 2.49, 6 Li 2.55-2.69

- total magnetic moment (μB per cell) = 3.0
- volume (Å³ per atom) = 13.03
- calculated density (g/cm³) = 4.0
- calculated formation energy (eV/atom) = 0.238
- electronic total energy (eV/cell) = -18.28
- symmetry = Immm